Density functional theory data (GGA-PBE) for an optimized crystal structure of RbCeS. Values from VASP.

Properties
* total DFT energy (no corrections): -4.815 eV/atom
* spin magnetization: 1.11 μB/f.u.

The structure in Quantum ESPRESSO input format:
```
&SYSTEM
  ibrav = 0, nat = 6, ntyp = 3
/
ATOMIC_SPECIES
Rb 85.47 Rb.upf
Ce 140.12 Ce.upf
S 32.06 S.upf
CELL_PARAMETERS angstrom
2.8528 -2.8527 0.0000
2.8528 2.8527 0.0000
-2.7864 0.0000 14.4841
ATOMIC_POSITIONS crystal
Rb 0.0813 0.0813 0.1583
Rb 0.9187 0.9187 0.8417
Ce 0.2936 0.2936 0.5885
Ce 0.7064 0.7064 0.4115
S 0.1972 0.1972 0.3926
S 0.8028 0.8028 0.6074
```